No. 1
YTiGa2 | Alexandria via LeMat-Bulk | PBE | relaxed; symmetry = I-42d, No. 122; energy relative to the lowest polymorph listed for this composition = 539 meV/atom; calculated volume = 23.766 A^3/atom; density of states at the Fermi level = 7.2 states/eV per cell
1.0
-2.286 2.286 9.095
2.286 -2.286 9.095
2.286 2.286 -9.095
Y Ti Ga
2 2 4
direct
0.000 0.000 0.000
0.750 0.250 0.500
0.250 0.750 0.500
0.500 0.500 0.000
0.231 0.625 0.106
0.375 0.481 0.606
0.519 0.125 0.894
0.875 0.769 0.394

---

No. 2
MgMo2As | Alexandria via LeMat-Bulk | PBE | relaxed; symmetry = P2/m, No. 10; energy relative to the lowest polymorph listed for this composition = 218 meV/atom; calculated volume = 16.617 A^3/atom; density of states at the Fermi level = 2.6 states/eV per cell
1.0
2.826 0.000 0.000
0.000 4.534 0.000
-0.333 0.000 5.188
Mg Mo As
1 2 1
direct
0.000 0.000 0.000
0.364 0.500 0.758
0.636 0.500 0.242
0.500 0.000 0.500

---

No. 3
Ta3TlIr | Alexandria via LeMat-Bulk | PBE | relaxed; symmetry = Pm-3m, No. 221; energy relative to the lowest polymorph listed for this composition = 1716 meV/atom; calculated volume = 24.473 A^3/atom; density of states at the Fermi level = 6.9 states/eV per cell
1.0
4.965 0.000 0.000
0.000 4.965 0.000
0.000 0.000 4.965
Ta Tl Ir
3 1 1
direct
0.000 0.000 0.500
0.000 0.500 0.000
0.500 0.000 0.000
0.000 0.000 0.000
0.500 0.500 0.500

---

No. 4
Na2Li2Ca | Alexandria via LeMat-Bulk | PBE | relaxed; symmetry = I4/mmm, No. 139; energy relative to the lowest polymorph listed for this composition = 84 meV/atom; calculated volume = 31.551 A^3/atom; density of states at the Fermi level = 3.4 states/eV per cell
1.0
-2.398 2.398 6.859
2.398 -2.398 6.859
2.398 2.398 -6.859
Na Li Ca
2 2 1
direct
0.113 0.113 0.000
0.887 0.887 0.000
0.250 0.750 0.500
0.750 0.250 0.500
0.500 0.500 0.000

---

No. 5
La4BiAs2P | Alexandria via LeMat-Bulk | PBE | relaxed; symmetry = P2/m, No. 10; VASP energy = -6.187 eV per atom; calculated volume = 30.894 A^3/atom; density of states at the Fermi level = 0.8 states/eV per cell
1.0
7.679 0.000 0.000
0.000 4.429 0.000
-2.557 0.000 7.267
La Bi As P
4 1 2 1
direct
0.240 0.000 0.235
0.248 0.500 0.760
0.752 0.500 0.240
0.760 0.000 0.765
0.500 0.500 0.500
0.000 0.000 0.500
0.000 0.500 0.000
0.500 0.000 0.000

---

No. 6
Pr2Mg3Pd2 | Alexandria via LeMat-Bulk | PBE | relaxed; symmetry = C2/m, No. 12; energy relative to the lowest polymorph listed for this composition = 0 meV/atom; calculated volume = 23.512 A^3/atom; density of states at the Fermi level = 4.4 states/eV per cell
1.0
5.261 -2.194 0.000
5.261 2.194 0.000
-3.076 0.000 7.130
Pr Mg Pd
2 3 2
direct
0.142 0.142 0.281
0.858 0.858 0.719
0.365 0.365 0.061
0.500 0.500 0.500
0.635 0.635 0.939
0.144 0.144 0.704
0.856 0.856 0.296

---

No. 7
NbCo3Ni | Alexandria via LeMat-Bulk | PBE | relaxed; symmetry = Pm-3m, No. 221; energy relative to the lowest polymorph listed for this composition = 1266 meV/atom; calculated volume = 17.027 A^3/atom; density of states at the Fermi level = 8.2 states/eV per cell
1.0
4.399 0.000 0.000
0.000 4.399 0.000
0.000 0.000 4.399
Nb Co Ni
1 3 1
direct
0.000 0.000 0.000
0.000 0.000 0.500
0.000 0.500 0.000
0.500 0.000 0.000
0.500 0.500 0.500

---

No. 8
SrMg2Te | Alexandria via LeMat-Bulk | PBE | relaxed; symmetry = P4mm, No. 99; calculated volume = 29.871 A^3/atom; density of states at the Fermi level = 1.3 states/eV per cell; formation energy without anion corrections = -0.503 eV per atom
1.0
4.086 0.000 0.000
0.000 4.086 0.000
0.000 0.000 7.158
Sr Mg Te
1 2 1
direct
0.000 0.000 0.000
0.000 0.000 0.501
0.500 0.500 0.680
0.500 0.500 0.255

---

No. 9
Pb2Au | Alexandria via LeMat-Bulk | PBE | relaxed; symmetry = P4/mmm, No. 123; VASP energy = -3.524 eV per atom; calculated volume = 29.630 A^3/atom; density of states at the Fermi level = 0.7 states/eV per cell
1.0
4.788 0.000 0.000
0.000 4.788 0.000
0.000 0.000 3.877
Pb Au
2 1
direct
0.000 0.500 0.000
0.500 0.000 0.000
0.000 0.000 0.500

---

No. 10
TiHAu2 | Alexandria via LeMat-Bulk | PBE | relaxed; symmetry = Fm-3m, No. 225; energy relative to the lowest polymorph listed for this composition = 223 meV/atom; calculated volume = 15.280 A^3/atom; density of states at the Fermi level = 3.3 states/eV per cell
1.0
0.000 3.126 3.126
3.126 0.000 3.126
3.126 3.126 0.000
Ti H Au
1 1 2
direct
0.000 0.000 0.000
0.500 0.500 0.500
0.250 0.250 0.250
0.750 0.750 0.750

---

No. 11
ScCd2Cl | Alexandria via LeMat-Bulk | PBE | relaxed; symmetry = P4mm, No. 99; energy relative to the lowest polymorph listed for this composition = 0 meV/atom; calculated volume = 23.043 A^3/atom; density of states at the Fermi level = 2.9 states/eV per cell; formation energy without anion corrections = -0.590 eV per atom
1.0
3.260 0.000 0.000
0.000 3.260 0.000
0.000 0.000 8.673
Sc Cd Cl
1 2 1
direct
0.000 0.000 0.000
0.000 0.000 0.482
0.500 0.500 0.246
0.500 0.500 0.844

---

No. 12
La8GaCo2 | Alexandria via LeMat-Bulk | PBE | relaxed; symmetry = Cm, No. 8; VASP energy = -5.237 eV per atom; calculated volume = 29.900 A^3/atom; density of states at the Fermi level = 13.2 states/eV per cell
1.0
4.264 -6.998 0.000
4.264 6.998 0.000
-1.667 0.000 5.512
La Ga Co
8 1 2
direct
0.000 0.000 0.000
0.213 0.213 0.622
0.267 0.518 0.257
0.370 0.845 0.811
0.518 0.267 0.257
0.695 0.947 0.366
0.845 0.370 0.811
0.947 0.695 0.366
0.606 0.606 0.811
0.331 0.882 0.311
0.882 0.331 0.311

---

Look up the calculated volume of the fifth one.
30.894 A^3/atom